Compound: ZrGe3C
Source: the Alexandria database
Functional: PBE
Structure: optimized geometry

Properties
Energy ... -5.573 eV/atom
Total moment ... 0.0 μB/f.u.
ΔH_f (0 K) ... 0.75 eV per atom
Density ... 6.434 g/cm3
Excess energy over the best structure of this formula in the dataset ... 0 meV/atom

```
ZrGe3C
1.0
4.360 0.000 0.000
0.000 4.360 0.000
0.000 0.000 4.360
Zr Ge C
1 3 1
direct
0.000 0.000 0.000
0.000 0.500 0.500
0.500 0.000 0.500
0.500 0.500 0.000
0.500 0.500 0.500
```

=====

Compound: Nd2Al4CoAu3
Source: the Alexandria database
Functional: PBE
Structure: optimized geometry

Properties
Energy ... -4.782 eV/atom
Total moment ... 1.0 μB/f.u.
ΔH_f (0 K) ... -0.64 eV per atom
Density ... 8.784 g/cm3

```
Nd2Al4CoAu3
1.0
4.326 0.000 0.000
0.000 4.326 0.000
0.000 0.000 10.571
Nd Al Co Au
2 4 1 3
direct
0.000 0.500 0.241
0.500 0.000 0.759
0.000 0.000 0.500
0.000 0.500 0.879
0.500 0.000 0.121
0.500 0.500 0.500
0.500 0.500 0.000
0.000 0.000 0.000
0.000 0.500 0.637
0.500 0.000 0.363
```